Density functional theory data (PBE-GGA) for DyAl2Ir after structural relaxation.

Cell: 5.633 7.091 15.160 Å, 90.00 90.00 90.00°
Positions (direct):
Al 0.441 0.553 0.290
Dy 0.962 0.750 0.361
Dy 0.739 0.250 0.400
Dy 0.038 0.250 0.639
Ir 0.207 0.250 0.311
Dy 0.538 0.750 0.861
Ir 0.989 0.250 0.070
Ir 0.489 0.750 0.430
Ir 0.293 0.250 0.811
Ir 0.011 0.750 0.930
Al 0.059 0.553 0.790
Dy 0.239 0.750 0.100
Ir 0.707 0.750 0.189
Al 0.254 0.441 0.458
Ir 0.793 0.750 0.689
Al 0.246 0.441 0.958
Al 0.941 0.053 0.210
Al 0.754 0.941 0.042
Al 0.059 0.947 0.790
Dy 0.261 0.750 0.600
Ir 0.511 0.250 0.570
Al 0.559 0.447 0.710
Al 0.246 0.059 0.958
Al 0.254 0.059 0.458
Dy 0.761 0.250 0.900
Al 0.941 0.447 0.210
Al 0.441 0.947 0.290
Al 0.746 0.941 0.542
Al 0.746 0.559 0.542
Al 0.754 0.559 0.042
Al 0.559 0.053 0.710
Dy 0.462 0.250 0.139

Values from the calculation:
Energy of formation (eV/f.u.): -3.389
Size of the total moment (μB per formula unit): 0.0
Calculated total energy (eV/atom): -6.084